The following is a DFT calculation (GGA-PBE) of BaScAl2 after structural relaxation.

Structure (CIF):
```
data_BaScAl2
_symmetry_space_group_name_H-M 'C 1 m 1'
_symmetry_Int_Tables_number 8
_symmetry_space_group_name_Hall 'C -2y'
_cell_length_a 10.934
_cell_length_b 3.377
_cell_length_c 6.166
_cell_angle_alpha 90.00
_cell_angle_beta 105.64
_cell_angle_gamma 90.00
loop_
_atom_site_label
_atom_site_type_symbol
_atom_site_fract_x
_atom_site_fract_y
_atom_site_fract_z
Ba1 Ba 0.000 0.000 0.000
Sc1 Sc 0.314 0.500 0.390
Al1 Al 0.052 0.500 0.503
Al2 Al 0.233 0.000 0.733
```

Results
Offset from the most stable computed form ... 0.2523 eV/atom
Total magnetic moment ... 0.00 μB per atom
Density ... 3.578 g/cm3
DFT total energy ... -3.896 eV/atom